Density functional theory data (PBE-GGA) for Be3BRu after structural relaxation.

Computed properties:
size of the total moment: 0.00 μB/cell
E above lowest polymorph: 0.000 eV per atom

abc: 4.9117 5.4191 6.7226
angles: 90.00 100.17 90.00
With the nearest neighbours (Å) after each atom.
Space group P2_1/c (No. 14)
Unique sites:
Be  0.0693  0.1848  0.0195 (multiplicity 4)  1 B 1.93, 1 Be 2.12
Be  0.3212  0.0388  0.3761 (multiplicity 4)  3 B 2.01-2.19, 1 Be 2.24
Be  0.3807  0.6209  0.5758 (multiplicity 4)  3 B 1.96-2.04, 1 Be 2.13
B  0.4470  0.2386  0.1483 (multiplicity 4)  6 Be 1.93-2.06, 2 Ru 2.15
Ru  0.1902  0.5363  0.2192 (multiplicity 4)  2 B 2.15, 3 Be 2.35-2.40

Density functional theory data (PBE-GGA) for Ti4CuTc3 after structural relaxation.

Computed properties:
size of the total moment: 0.00 μB/cell
total DFT energy (no corrections): -8.78 eV/atom

abc: 3.1548 4.3760 8.6361
angles: 90.00 90.00 90.00
With the nearest neighbours (Å) after each atom.
Space group Pmmm (No. 47)
Unique sites:
Ti  0.0000  0.0000  0.0000 (multiplicity 1)  8 Tc 2.70-2.73
Ti  0.0000  0.0000  0.5000 (multiplicity 1)  4 Tc 2.61, 4 Cu 2.70
Ti  0.0000  0.5000  0.2434 (multiplicity 2)  6 Tc 2.63-2.70, 2 Cu 2.72
Cu  0.5000  0.5000  0.5000 (multiplicity 1)  8 Ti 2.70-2.72
Tc  0.5000  0.0000  0.2586 (multiplicity 2)  8 Ti 2.61-2.73
Tc  0.5000  0.5000  0.0000 (multiplicity 1)  8 Ti 2.63-2.70

Density functional theory data (PBE-GGA) for CuRuSe2N after structural relaxation.

Computed properties:
raw formation energy: 1170 meV/atom
size of the total moment: 1.74 μB/cell
E above lowest polymorph: 0.587 eV per atom

abc: 4.8672 4.8672 3.4494
angles: 90.00 90.00 90.00
With the nearest neighbours (Å) after each atom.
Space group P4/mmm (No. 123)
Unique sites:
Cu  0.0000  0.0000  0.0000 (multiplicity 1)  2 N 1.72
Ru  0.5000  0.5000  0.5000 (multiplicity 1)  8 Se 2.98
Se  0.0000  0.5000  0.0000 (multiplicity 2)  2 Cu 2.43
N  0.0000  0.0000  0.5000 (multiplicity 1)  2 Cu 1.72

Density functional theory data (PBE-GGA) for NaSc2B2 after structural relaxation.

Computed properties:
size of the total moment: 1.91 μB/cell
E above lowest polymorph: 0.341 eV per atom

abc: 4.3657 4.3657 8.7064
angles: 90.00 90.00 90.00
With the nearest neighbours (Å) after each atom.
Space group I4/mmm (No. 139)
Unique sites:
Na  0.0000  0.0000  0.0000 (multiplicity 2)  8 Sc 3.08, 8 B 3.20
Sc  0.0000  0.5000  0.2500 (multiplicity 4)  4 B 2.56
B  0.0000  0.0000  0.4046 (multiplicity 4)  1 B 1.66

Density functional theory data (PBE-GGA) for CrNi4Rh2 after structural relaxation.

Computed properties:
size of the total moment: 0.57 μB/cell
E above lowest polymorph: 0.059 eV per atom

abc: 6.6152 6.6152 4.2283
angles: 90.00 90.00 90.00
With the nearest neighbours (Å) after each atom.
Space group P4_2/mnm (No. 136)
Unique sites:
Cr  0.0000  0.0000  0.0000 (multiplicity 2)  4 Ni 2.55, 6 Rh 2.81-2.83
Ni  0.1112  0.3691  0.0000 (multiplicity 8)  2 Ni 2.27-2.41, 3 Rh 2.47-2.51
Rh  0.1977  0.1977  0.5000 (multiplicity 4)  6 Ni 2.47-2.51

Density functional theory data (PBE-GGA) for Cu2PS6 after structural relaxation.

Computed properties:
raw formation energy: 149 meV/atom
size of the total moment: 1.39 μB/cell

abc: 6.8894 6.8894 10.1842
angles: 90.00 90.00 90.00
With the nearest neighbours (Å) after each atom.
Space group P4_2/mnm (No. 136)
Unique sites:
Cu  0.0000  0.0000  0.1939 (multiplicity 4)  4 S 2.21-2.24
P  0.0000  0.0000  0.5000 (multiplicity 2)  4 S 2.10
S  0.1090  0.1090  0.0000 (multiplicity 4)  1 S 2.12, 2 Cu 2.24
S  0.1527  0.1527  0.3538 (multiplicity 8)  1 P 2.10, 1 Cu 2.21

Repeat the first record exactly.
Density functional theory data (PBE-GGA) for Be3BRu after structural relaxation.

Computed properties:
size of the total moment: 0.00 μB/cell
E above lowest polymorph: 0.000 eV per atom

abc: 4.9117 5.4191 6.7226
angles: 90.00 100.17 90.00
With the nearest neighbours (Å) after each atom.
Space group P2_1/c (No. 14)
Unique sites:
Be  0.0693  0.1848  0.0195 (multiplicity 4)  1 B 1.93, 1 Be 2.12
Be  0.3212  0.0388  0.3761 (multiplicity 4)  3 B 2.01-2.19, 1 Be 2.24
Be  0.3807  0.6209  0.5758 (multiplicity 4)  3 B 1.96-2.04, 1 Be 2.13
B  0.4470  0.2386  0.1483 (multiplicity 4)  6 Be 1.93-2.06, 2 Ru 2.15
Ru  0.1902  0.5363  0.2192 (multiplicity 4)  2 B 2.15, 3 Be 2.35-2.40